No. 1
Entry from the Alexandria database: an optimized crystal structure of MnAuSN2 (PBE).

abc: 3.8547 3.8547 7.6340
angles: 90.00 90.00 90.00
Atoms (fractional coordinates):
S 0.0000 0.0000 0.5000
N 0.0000 0.5000 0.0000
Mn 0.5000 0.5000 0.5000
Au 0.0000 0.0000 0.0000
N 0.5000 0.0000 0.0000

Calculated values
For the formation energy without anion corrections, the calculation gives 1.58 eV per atom. Its space group is P4/mmm (123). As for the size of the total moment: 1.62 μB per atom.

No. 2
Entry from the Alexandria database: an optimized crystal structure of PmThSi3 (PBE).

abc: 4.0612 4.3006 12.5680
angles: 99.85 90.00 90.00
Atoms (fractional coordinates):
Th 0.7500 0.9307 0.8613
Th 0.2500 0.0693 0.1387
Pm 0.7500 0.2014 0.4028
Si 0.2500 0.4764 0.9528
Si 0.7500 0.5236 0.0472
Si 0.2500 0.6745 0.3489
Si 0.7500 0.3255 0.6511
Si 0.7500 0.6182 0.2364
Si 0.2500 0.3818 0.7636
Pm 0.2500 0.7986 0.5972

Calculated values
For the formation energy without anion corrections, the calculation gives -0.69 eV per atom. Its space group is Cmcm (63). As for the size of the total moment: 0.00 μB per atom.

No. 3
Entry from the Alexandria database: an optimized crystal structure of TmNbIrOs (PBE).

abc: 4.6353 4.6353 4.6353
angles: 60.00 60.00 60.00
Atoms (fractional coordinates):
Tm 0.7500 0.7500 0.7500
Nb 0.2500 0.2500 0.2500
Ir 0.0000 0.0000 0.0000
Os 0.5000 0.5000 0.5000

Calculated values
Its space group is F-43m (216). As for the size of the total moment: 0.00 μB per atom. The formation enthalpy at 0 K is -0.35 eV/atom.

No. 4
Entry from the Alexandria database: an optimized crystal structure of MgSn2As2 (PBE).

abc: 7.9627 7.9627 3.7807
angles: 90.00 90.00 90.00
Atoms (fractional coordinates):
Sn 0.6420 0.1420 0.0000
As 0.1651 0.6651 0.5000
Mg 0.5000 0.5000 0.0000
Sn 0.3580 0.8580 0.0000
As 0.3349 0.1651 0.5000
Sn 0.8580 0.6420 0.0000
As 0.8349 0.3349 0.5000
Mg 0.0000 0.0000 0.0000
As 0.6651 0.8349 0.5000
Sn 0.1420 0.3580 0.0000

Calculated values
Its space group is P4/mbm (127). As for the size of the total moment: 0.00 μB per atom. The formation enthalpy at 0 K is 0.11 eV/atom.

No. 5
Entry from the Alexandria database: an optimized crystal structure of Pm2SbPd9 (PBE).

abc: 4.1579 4.1579 12.3262
angles: 90.00 90.00 90.00
Atoms (fractional coordinates):
Pd 0.0000 0.5000 0.1553
Pd 0.5000 0.0000 0.8447
Pd 0.5000 0.0000 0.1553
Pd 0.5000 0.5000 0.3248
Pd 0.0000 0.5000 0.5000
Pm 0.0000 0.0000 0.3317
Sb 0.0000 0.0000 0.0000
Pd 0.0000 0.5000 0.8447
Pd 0.5000 0.5000 0.0000
Pd 0.5000 0.5000 0.6752
Pm 0.0000 0.0000 0.6683
Pd 0.5000 0.0000 0.5000

Calculated values
For the formation energy without anion corrections, the calculation gives -0.66 eV per atom. Its space group is P4/mmm (123). As for the size of the total moment: 0.00 μB per atom.

No. 6
Entry from the Alexandria database: an optimized crystal structure of Tb12Rh3C5 (PBE).

abc: 13.3946 13.3946 13.3946
angles: 109.47 109.47 109.47
Atoms (fractional coordinates):
Rh 0.2500 0.6250 0.8750
C 0.3750 0.1250 0.7500
Tb 0.2069 0.5280 0.6238
Tb 0.7931 0.4720 0.3762
Tb 0.3762 0.4042 0.0831
Tb 0.9720 0.3762 0.2931
Tb 0.0831 0.9042 0.3762
Tb 0.2931 0.4169 0.8211
Tb 0.4169 0.2931 0.3211
C 0.5000 0.5000 0.0000
Tb 0.7931 0.3211 0.9169
Tb 0.7069 0.1238 0.0280
Rh 0.7500 0.3750 0.1250
C 0.0000 0.0000 0.5000
Tb 0.0958 0.1789 0.4720
Tb 0.8211 0.9169 0.2931
Tb 0.5280 0.2069 0.1238
Rh 0.8750 0.7500 0.1250
Rh 0.3750 0.6250 0.2500
Tb 0.0280 0.6238 0.7069
Tb 0.9169 0.8211 0.7931
Tb 0.4720 0.7931 0.8762
Tb 0.9169 0.0958 0.6238
Tb 0.3211 0.7931 0.4169
Tb 0.8762 0.5831 0.9042
Tb 0.8762 0.2931 0.4720
C 0.6250 0.7500 0.8750
C 0.0000 0.5000 0.0000
C 0.8750 0.6250 0.7500
Tb 0.1238 0.4169 0.0958
Tb 0.2069 0.6789 0.0831
Tb 0.4720 0.6789 0.0958
Rh 0.6250 0.3750 0.7500
C 0.5000 0.0000 0.5000
Tb 0.6238 0.0280 0.2069
Tb 0.5280 0.3211 0.9042
Tb 0.5958 0.6238 0.4169
C 0.7500 0.6250 0.3750
Tb 0.4169 0.1238 0.5958
C 0.6250 0.8750 0.2500
Rh 0.3750 0.7500 0.6250
Rh 0.7500 0.8750 0.6250
Tb 0.3211 0.5280 0.4042
Tb 0.0831 0.1789 0.2069
Tb 0.9720 0.5958 0.1789
Tb 0.0280 0.4042 0.8211
Tb 0.1238 0.7069 0.5280
C 0.0000 0.5000 0.5000
Tb 0.9042 0.0831 0.8762
Tb 0.1789 0.0831 0.7069
C 0.5000 0.5000 0.5000
Rh 0.2500 0.1250 0.3750
Tb 0.9042 0.8211 0.5280
Tb 0.0958 0.9169 0.1238
C 0.1250 0.7500 0.3750
Tb 0.8211 0.9042 0.0280
Tb 0.5831 0.7069 0.6789
Tb 0.6789 0.2069 0.5831
C 0.7500 0.1250 0.8750
Tb 0.3762 0.9720 0.7931
C 0.2500 0.8750 0.1250
Tb 0.5831 0.8762 0.4042
Tb 0.7069 0.5831 0.1789
Tb 0.6238 0.5958 0.9169
Tb 0.4042 0.3762 0.5831
Tb 0.4042 0.0280 0.3211
Rh 0.6250 0.2500 0.3750
Rh 0.1250 0.2500 0.8750
Tb 0.5958 0.9720 0.6789
C 0.5000 0.0000 0.0000
Rh 0.8750 0.1250 0.2500
Rh 0.1250 0.8750 0.7500
Tb 0.6789 0.4720 0.5958
C 0.1250 0.3750 0.2500
C 0.3750 0.2500 0.1250
C 0.0000 0.0000 0.0000
Tb 0.1789 0.0958 0.9720
C 0.8750 0.2500 0.6250
C 0.2500 0.3750 0.6250
Tb 0.2931 0.8762 0.9720

Calculated values
Its space group is Ia-3d (230). As for the size of the total moment: 0.00 μB per atom. The formation enthalpy at 0 K is -0.27 eV/atom.